Computed, not measured: crystalline Zr5Sb3Ru at its relaxed geometry at the PBE level of DFT.

a = 8.7253 Å, b = 8.7253 Å, c = 5.8717 Å
α = 90.00°, β = 90.00°, γ = 120.00°
Last column: nearest neighbours and their distance in Å.
Atoms (fractional coordinates):
Zr 0.6667 0.3333 0.5000  2 Zr 2.94, 6 Sb 3.06
Zr 0.0000 0.2575 0.2500  2 Ru 2.68
Zr 0.6667 0.3333 0.0000  2 Zr 2.94, 6 Sb 3.06
Zr 0.3333 0.6667 0.0000  2 Zr 2.94, 6 Sb 3.06
Sb 0.6072 0.6072 0.7500  9 Zr 3.02-3.16
Sb 0.3928 0.0000 0.7500  9 Zr 3.02-3.16
Zr 0.2575 0.0000 0.2500  2 Ru 2.68
Sb 0.0000 0.3928 0.7500  9 Zr 3.02-3.16
Zr 0.2575 0.2575 0.7500  2 Ru 2.68
Sb 0.6072 0.0000 0.2500  9 Zr 3.02-3.16
Ru 0.0000 0.0000 0.0000  6 Zr 2.68, 2 Ru 2.94
Zr 0.3333 0.6667 0.5000  2 Zr 2.94, 6 Sb 3.06
Ru 0.0000 0.0000 0.5000  6 Zr 2.68, 2 Ru 2.94
Zr 0.7425 0.7425 0.2500  2 Ru 2.68
Sb 0.3928 0.3928 0.2500  9 Zr 3.02-3.16
Zr 0.7425 0.0000 0.7500  2 Ru 2.68
Sb 0.0000 0.6072 0.2500  9 Zr 3.02-3.16
Zr 0.0000 0.7425 0.7500  2 Ru 2.68

E_form (uncorrected)   -0.630 eV/atom
Space group   No. 193

Computed, not measured: crystalline ZrSb2Ru at its relaxed geometry at the PBE level of DFT.

a = 4.2352 Å, b = 3.2765 Å, c = 6.0467 Å
α = 85.22°, β = 90.00°, γ = 90.00°
Last column: nearest neighbours and their distance in Å.
Atoms (fractional coordinates):
Sb 0.0000 0.6290 0.5061  2 Ru 2.63
Zr 0.5000 0.2500 0.2500  8 Sb 2.96-3.24, 2 Zr 3.28
Sb 0.0000 0.8710 0.9939  2 Ru 2.63
Ru 0.5000 0.7500 0.7500  4 Sb 2.63

E_form (uncorrected)   -0.127 eV/atom
Space group   No. 10

| no. | volume (Å³ per cell) |
| --- | --- |
| 1 | 387.1 |
| 2 | 83.6 |